Record 1
AgSnIr3 | SCAN | single point on PBEsol structure

Cell lengths 4.795, 4.795, 4.795 Å; angles 90.00, 90.00, 90.00 degrees
Space group Pm-3m (No. 221)
One atom of each set of equivalent atoms:
Ag 0.000 0.000 0.000 x1
Sn 0.500 0.500 0.500 x1
Ir 0.000 0.500 0.500 x3

- Formation energy from the elements: 2079 meV/atom
- N(E_F): 6.1 states/eV/f.u.
- VASP energy: -3.9717 Ry per atom
- Magnetization: 1.64 μB/f.u.

=====

Record 2
TiIN3 | SCAN | single point on PBEsol structure

Cell lengths 3.989, 3.989, 3.989 Å; angles 90.00, 90.00, 90.00 degrees
Space group Pm-3m (No. 221)
One atom of each set of equivalent atoms:
Ti 0.000 0.000 0.000 x1
I 0.500 0.500 0.500 x1
N 0.000 0.000 0.500 x3

- N(E_F): 3.2 states/eV/f.u.
- VASP energy: -1.1147 Ry per atom
- Magnetization: 0.00 μB/f.u.

=====

Record 3
BP2Br | SCAN | single point on PBEsol structure

Cell lengths 6.160, 6.160, 6.160 Å; angles 90.00, 90.00, 90.00 degrees
Space group Fm-3m (No. 225)
One atom of each set of equivalent atoms:
B 0.000 0.000 0.000 x4
P 0.250 0.250 0.250 x8
Br 0.000 0.000 0.500 x4

- N(E_F): 1.6 states/eV/f.u.
- VASP energy: -0.7439 Ry per atom
- Magnetization: 0.00 μB/f.u.

=====

Record 4
SrMgTc2 | SCAN | single point on PBEsol structure

Cell lengths 3.520, 3.520, 6.743 Å; angles 90.00, 90.00, 90.00 degrees
Space group P4/mmm (No. 123)
One atom of each set of equivalent atoms:
Sr 0.000 0.000 0.000 x1
Mg 0.000 0.000 0.500 x1
Tc 0.500 0.500 0.338 x2

- Formation energy from the elements: 568 meV/atom
- N(E_F): 4.1 states/eV/f.u.
- VASP energy: -1.7474 Ry per atom
- Magnetization: 0.00 μB/f.u.

=====

Record 5
TiGe3S | SCAN | single point on PBEsol structure

Cell lengths 4.864, 4.864, 4.864 Å; angles 90.00, 90.00, 90.00 degrees
Space group Pm-3m (No. 221)
One atom of each set of equivalent atoms:
Ti 0.000 0.000 0.000 x1
Ge 0.000 0.000 0.500 x3
S 0.500 0.500 0.500 x1

- N(E_F): 3.6 states/eV/f.u.
- VASP energy: -1.1707 Ry per atom
- Magnetization: 0.00 μB/f.u.

=====

Record 6
YNbFe3 | SCAN | single point on PBEsol structure

Cell lengths 4.432, 4.432, 4.432 Å; angles 90.00, 90.00, 90.00 degrees
Space group Pm-3m (No. 221)
One atom of each set of equivalent atoms:
Y 0.000 0.000 0.000 x1
Nb 0.500 0.500 0.500 x1
Fe 0.000 0.000 0.500 x3

- Formation energy from the elements: 1899 meV/atom
- N(E_F): 9.0 states/eV/f.u.
- VASP energy: -1.5562 Ry per atom
- Magnetization: 5.76 μB/f.u.

=====

Record 7
KAlHg2 | SCAN | single point on PBEsol structure

Cell lengths 4.5888, 4.5888, 19.0417 Å; angles 90.00, 90.00, 120.00 degrees
Space group R3m (No. 160, hexagonal axes)
One atom of each set of equivalent atoms:
K 0.0000 0.0000 0.0000 x3
Al 0.0000 0.0000 0.8163 x3
Hg 0.0000 0.0000 0.2032 x3
Hg 0.0000 0.0000 0.4550 x3

- Formation energy from the elements: -166 meV/atom
- N(E_F): 1.7 states/eV/f.u.
- VASP energy: -2.8127 Ry per atom
- Magnetization: 0.00 μB/f.u.

=====

Record 8
MgTa2Mn | SCAN | single point on PBEsol structure

Cell lengths 10.192, 3.100, 4.508 Å; angles 90.00, 116.20, 90.00 degrees
Space group Cm (No. 8)
One atom of each set of equivalent atoms:
Mg 0.000 0.000 0.000 x2
Ta 0.060 0.500 0.560 x2
Ta 0.282 0.500 0.282 x2
Mn 0.264 0.000 0.765 x2

- Formation energy from the elements: 221 meV/atom
- N(E_F): 2.5 states/eV/f.u.
- VASP energy: -2.8575 Ry per atom
- Magnetization: 0.00 μB/f.u.

=====

Record 9
TcRh4 | SCAN | single point on PBEsol structure

Cell lengths 5.981, 5.981, 3.773 Å; angles 90.00, 90.00, 90.00 degrees
Space group I4/m (No. 87)
One atom of each set of equivalent atoms:
Tc 0.000 0.000 0.000 x2
Rh 0.104 0.704 0.500 x8

- Formation energy from the elements: -66 meV/atom
- N(E_F): 5.1 states/eV/f.u.
- VASP energy: -2.5059 Ry per atom
- Magnetization: 0.00 μB/f.u.

=====

Record 10
Ta4GaSe8 | SCAN | single point on PBEsol structure

Cell lengths 10.338, 10.338, 10.338 Å; angles 90.00, 90.00, 90.00 degrees
Space group F-43m (No. 216)
One atom of each set of equivalent atoms:
Ta 0.103 0.103 0.103 x16
Ga 0.000 0.000 0.500 x4
Se 0.136 0.136 0.364 x16
Se 0.137 0.137 0.863 x16

- N(E_F): 5.7 states/eV/f.u.
- VASP energy: -2.5651 Ry per atom
- Magnetization: 0.00 μB/f.u.

=====

Record 11
Ca | SCAN | single point on PBEsol structure

Cell lengths 3.452, 3.452, 3.452 Å; angles 90.00, 90.00, 90.00 degrees
Space group Pm-3m (No. 221)
One atom of each set of equivalent atoms:
Ca 0.000 0.000 0.000 x1

- Formation energy from the elements: 435 meV/atom
- N(E_F): 0.8 states/eV/f.u.
- VASP energy: -0.6783 Ry per atom
- Magnetization: 0.01 μB/f.u.

=====

Record 12
MgTc2Os | SCAN | single point on PBEsol structure

Cell lengths 4.520, 4.520, 2.826 Å; angles 90.00, 90.00, 90.00 degrees
Space group P4/mmm (No. 123)
One atom of each set of equivalent atoms:
Mg 0.000 0.000 0.000 x1
Tc 0.000 0.500 0.500 x2
Os 0.500 0.500 0.000 x1

- Formation energy from the elements: 284 meV/atom
- N(E_F): 3.5 states/eV/f.u.
- VASP energy: -2.6797 Ry per atom
- Magnetization: 0.00 μB/f.u.